# TiMn3P6O24

A relaxed TiMn3P6O24 crystal (GGA+U, Alexandria).

Cell lengths 8.746, 8.746, 8.746 Å; angles 56.76, 56.76, 56.76 degrees
Fractional positions:
1 Ti 0.000 0.000 0.000
2 Mn 0.279 0.279 0.279
3 Mn 0.490 0.490 0.490
4 Mn 0.785 0.785 0.785
5 P 0.104 0.666 0.396
6 P 0.172 0.599 0.888
7 P 0.396 0.104 0.666
8 P 0.599 0.888 0.172
9 P 0.666 0.396 0.104
10 P 0.888 0.172 0.599
11 O 0.028 0.868 0.249
12 O 0.031 0.251 0.394
13 O 0.129 0.510 0.344
14 O 0.137 0.760 0.940
15 O 0.249 0.028 0.868
16 O 0.251 0.394 0.031
17 O 0.301 0.655 0.366
18 O 0.321 0.623 0.678
19 O 0.344 0.129 0.510
20 O 0.366 0.301 0.655
21 O 0.394 0.031 0.251
22 O 0.510 0.344 0.129
23 O 0.606 0.955 0.641
24 O 0.615 0.915 0.973
25 O 0.623 0.678 0.321
26 O 0.641 0.606 0.955
27 O 0.655 0.366 0.301
28 O 0.678 0.321 0.623
29 O 0.760 0.940 0.137
30 O 0.868 0.249 0.028
31 O 0.915 0.973 0.615
32 O 0.940 0.137 0.760
33 O 0.955 0.641 0.606
34 O 0.973 0.615 0.915

Results
Uncorrected energy (Ry per atom): -0.532
D(E_F) (states/eV per cell): 19.1